# 1
First-principles (GGA-PBE) data for a relaxed BeTlF6 crystal, as listed in Alexandria via LeMat-Bulk.

abc: 5.3517 5.3517 5.3517
angles: 56.09 56.09 56.09
With the nearest neighbours (Å) after each atom.
Element x y z (fractional)
1 Be 0.0000 0.0000 0.0000  6 F 1.75
2 Tl 0.5000 0.5000 0.5000  6 F 2.20
3 F 0.0740 0.3586 0.7898  1 Be 1.75
4 F 0.2102 0.9260 0.6414  1 Be 1.75
5 F 0.3586 0.7898 0.0740  1 Be 1.75
6 F 0.6414 0.2102 0.9260  1 Be 1.75
7 F 0.7898 0.0740 0.3586  1 Be 1.75
8 F 0.9260 0.6414 0.2102  1 Be 1.75

- crystal system = trigonal

---

# 2
First-principles (GGA-PBE) data for a relaxed Ac2Cd3Au4 crystal, as listed in Alexandria via LeMat-Bulk.

abc: 8.9260 8.9260 8.5121
angles: 90.00 90.00 138.32
With the nearest neighbours (Å) after each atom.
Element x y z (fractional)
1 Ac 0.1162 0.8838 0.9190  8 Au 3.38-3.52, 4 Cd 3.56-3.62
2 Ac 0.3838 0.6162 0.4190  8 Au 3.38-3.52, 4 Cd 3.56-3.62
3 Ac 0.6162 0.3838 0.5810  8 Au 3.38-3.52, 4 Cd 3.56-3.62
4 Ac 0.8838 0.1162 0.0810  8 Au 3.38-3.52, 4 Cd 3.56-3.62
5 Cd 0.0000 0.0000 0.5000  6 Au 2.75-3.06
6 Cd 0.0363 0.4637 0.7500  5 Au 2.87-3.00, 2 Cd 3.18
7 Cd 0.4637 0.0363 0.2500  5 Au 2.87-3.00, 2 Cd 3.18
8 Cd 0.5000 0.5000 0.0000  6 Au 2.75-3.06
9 Cd 0.5363 0.9637 0.7500  5 Au 2.87-3.00, 2 Cd 3.18
10 Cd 0.9637 0.5363 0.2500  5 Au 2.87-3.00, 2 Cd 3.18
11 Au 0.1823 0.8177 0.5423  5 Cd 2.94-3.06
12 Au 0.2080 0.2920 0.7500  3 Cd 2.75-2.87
13 Au 0.2920 0.2080 0.2500  3 Cd 2.75-2.87
14 Au 0.3177 0.6823 0.0423  5 Cd 2.94-3.06
15 Au 0.6823 0.3177 0.9577  5 Cd 2.94-3.06
16 Au 0.7080 0.7920 0.7500  3 Cd 2.75-2.87
17 Au 0.7920 0.7080 0.2500  3 Cd 2.75-2.87
18 Au 0.8177 0.1823 0.4577  5 Cd 2.94-3.06

- crystal system = orthorhombic
- energy of formation (eV per formula unit) = -4.82

---

# 3
First-principles (GGA-PBE) data for a relaxed Ba3NdGa2O8 crystal, as listed in Alexandria via LeMat-Bulk.

abc: 6.1132 6.1132 7.7007
angles: 90.00 90.00 120.00
With the nearest neighbours (Å) after each atom.
Element x y z (fractional)
1 Ba 0.0000 0.0000 0.0000  6 O 3.01
2 Ba 0.3333 0.6667 0.6559  1 O 2.48
3 Ba 0.6667 0.3333 0.3441  1 O 2.48
4 Nd 0.0000 0.0000 0.5000  6 O 2.33
5 Ga 0.3333 0.6667 0.2141  4 O 1.82-1.87
6 Ga 0.6667 0.3333 0.7859  4 O 1.82-1.87
7 O 0.1719 0.3437 0.3119  1 Ga 1.87
8 O 0.1719 0.8281 0.3119  1 Ga 1.87
9 O 0.3333 0.6667 0.9777  1 Ga 1.82
10 O 0.3437 0.1719 0.6881  1 Ga 1.87
11 O 0.6563 0.8281 0.3119  1 Ga 1.87
12 O 0.6667 0.3333 0.0223  1 Ga 1.82
13 O 0.8281 0.1719 0.6881  1 Ga 1.87
14 O 0.8281 0.6563 0.6881  1 Ga 1.87

- crystal system = trigonal

---

# 4
First-principles (GGA-PBE) data for a relaxed Ba2CdPd3Au12 crystal, as listed in Alexandria via LeMat-Bulk.

abc: 8.6024 8.6024 8.6024
angles: 64.36 64.36 64.36
With the nearest neighbours (Å) after each atom.
Element x y z (fractional)
1 Ba 0.1125 0.1125 0.1125  9 Au 3.26-3.65
2 Ba 0.8875 0.8875 0.8875  9 Au 3.26-3.65
3 Cd 0.5000 0.5000 0.5000  6 Au 2.65
4 Pd 0.0000 0.5000 0.5000  6 Au 2.70-2.71
5 Pd 0.5000 0.0000 0.5000  6 Au 2.70-2.71
6 Pd 0.5000 0.5000 0.0000  6 Au 2.70-2.71
7 Au 0.1434 0.6277 0.6277  1 Cd 2.65, 1 Pd 2.71, 4 Au 2.77-2.91
8 Au 0.1535 0.1535 0.4967  2 Pd 2.70, 2 Au 2.77
9 Au 0.1535 0.4967 0.1535  2 Pd 2.70, 2 Au 2.77
10 Au 0.3723 0.3723 0.8566  1 Cd 2.65, 1 Pd 2.71, 4 Au 2.77-2.91
11 Au 0.3723 0.8566 0.3723  1 Cd 2.65, 1 Pd 2.71, 4 Au 2.77-2.91
12 Au 0.4967 0.1535 0.1535  2 Pd 2.70, 2 Au 2.77
13 Au 0.5033 0.8465 0.8465  2 Pd 2.70, 2 Au 2.77
14 Au 0.6277 0.1434 0.6277  1 Cd 2.65, 1 Pd 2.71, 4 Au 2.77-2.91
15 Au 0.6277 0.6277 0.1434  1 Cd 2.65, 1 Pd 2.71, 4 Au 2.77-2.91
16 Au 0.8465 0.5033 0.8465  2 Pd 2.70, 2 Au 2.77
17 Au 0.8465 0.8465 0.5033  2 Pd 2.70, 2 Au 2.77
18 Au 0.8566 0.3723 0.3723  1 Cd 2.65, 1 Pd 2.71, 4 Au 2.77-2.91

- crystal system = trigonal
- energy of formation (eV per formula unit) = -0.32

---

# 5
First-principles (GGA-PBE) data for a relaxed K2Mg3UF12 crystal, as listed in Alexandria via LeMat-Bulk.

abc: 6.9792 6.9792 6.9792
angles: 64.45 64.45 64.45
With the nearest neighbours (Å) after each atom.
Element x y z (fractional)
1 K 0.1107 0.1107 0.1107  3 F 2.67
2 K 0.8893 0.8893 0.8893  3 F 2.67
3 Mg 0.0000 0.5000 0.5000  6 F 1.96-2.03
4 Mg 0.5000 0.0000 0.5000  6 F 1.96-2.03
5 Mg 0.5000 0.5000 0.0000  6 F 1.96-2.03
6 U 0.5000 0.5000 0.5000  6 F 2.31
7 F 0.1166 0.6266 0.6266  1 Mg 2.03
8 F 0.2308 0.2308 0.6009  2 Mg 1.96
9 F 0.2308 0.6009 0.2308  2 Mg 1.96
10 F 0.3734 0.3734 0.8834  1 Mg 2.03
11 F 0.3734 0.8834 0.3734  1 Mg 2.03
12 F 0.3991 0.7692 0.7692  2 Mg 1.96
13 F 0.6009 0.2308 0.2308  2 Mg 1.96
14 F 0.6266 0.1166 0.6266  1 Mg 2.03
15 F 0.6266 0.6266 0.1166  1 Mg 2.03
16 F 0.7692 0.3991 0.7692  2 Mg 1.96
17 F 0.7692 0.7692 0.3991  2 Mg 1.96
18 F 0.8834 0.3734 0.3734  1 Mg 2.03

- crystal system = trigonal

---

# 6
First-principles (GGA-PBE) data for a relaxed LaScSb2Te crystal, as listed in Alexandria via LeMat-Bulk.

abc: 5.4248 5.4248 5.5637
angles: 90.00 90.00 90.00
With the nearest neighbours (Å) after each atom.
Element x y z (fractional)
1 La 0.0000 0.0000 0.0000  4 Te 3.84, 8 Sb 3.89
2 Sc 0.5000 0.5000 0.5000  4 Sb 2.71, 2 Te 2.78
3 Sb 0.0000 0.5000 0.5000  2 Sc 2.71
4 Sb 0.5000 0.0000 0.5000  2 Sc 2.71
5 Te 0.5000 0.5000 0.0000  2 Sc 2.78

- crystal system = tetragonal

---

# 7
First-principles (GGA-PBE) data for a relaxed NdHo5Sc4 crystal, as listed in Alexandria via LeMat-Bulk.

abc: 10.1041 11.1461 5.3780
angles: 90.00 90.00 90.00
With the nearest neighbours (Å) after each atom.
Element x y z (fractional)
1 Nd 0.2500 0.2500 0.2500  4 Ho 3.02
2 Nd 0.7500 0.7500 0.7500  4 Ho 3.02
3 Ho 0.0507 0.0484 0.2501  1 Nd 3.02, 2 Ho 3.07, 4 Sc 3.26-3.37
4 Ho 0.0507 0.4516 0.2501  1 Nd 3.02, 2 Ho 3.07, 4 Sc 3.26-3.37
5 Ho 0.2500 0.7500 0.7489  6 Sc 3.42-3.71, 4 Ho 3.78
6 Ho 0.4493 0.0484 0.2501  1 Nd 3.02, 2 Ho 3.07, 4 Sc 3.26-3.37
7 Ho 0.4493 0.4516 0.2501  1 Nd 3.02, 2 Ho 3.07, 4 Sc 3.26-3.37
8 Ho 0.5507 0.5484 0.7499  1 Nd 3.02, 2 Ho 3.07, 4 Sc 3.26-3.37
9 Ho 0.5507 0.9516 0.7499  1 Nd 3.02, 2 Ho 3.07, 4 Sc 3.26-3.37
10 Ho 0.7500 0.2500 0.2511  6 Sc 3.42-3.71, 4 Ho 3.78
11 Ho 0.9493 0.5484 0.7499  1 Nd 3.02, 2 Ho 3.07, 4 Sc 3.26-3.37
12 Ho 0.9493 0.9516 0.7499  1 Nd 3.02, 2 Ho 3.07, 4 Sc 3.26-3.37
13 Sc 0.0020 0.2500 0.7503  2 Sc 3.31, 7 Ho 3.37-3.70, 2 Nd 3.67-3.68
14 Sc 0.2500 0.0567 0.7502  7 Ho 3.26-3.42, 2 Sc 3.31, 2 Nd 3.45
15 Sc 0.2500 0.4433 0.7502  7 Ho 3.26-3.42, 2 Sc 3.31, 2 Nd 3.45
16 Sc 0.4980 0.2500 0.7503  2 Sc 3.31, 7 Ho 3.37-3.70, 2 Nd 3.67-3.68
17 Sc 0.5020 0.7500 0.2497  2 Sc 3.31, 7 Ho 3.37-3.70, 2 Nd 3.67-3.68
18 Sc 0.7500 0.5567 0.2498  7 Ho 3.26-3.42, 2 Sc 3.31, 2 Nd 3.45
19 Sc 0.7500 0.9433 0.2498  7 Ho 3.26-3.42, 2 Sc 3.31, 2 Nd 3.45
20 Sc 0.9980 0.7500 0.2497  2 Sc 3.31, 7 Ho 3.37-3.70, 2 Nd 3.67-3.68

- crystal system = orthorhombic
- energy of formation (eV per formula unit) = 2.88

---

# 8
First-principles (GGA-PBE) data for a relaxed CaZn2Os crystal, as listed in Alexandria via LeMat-Bulk.

abc: 3.3444 3.3444 6.3029
angles: 90.00 90.00 90.00
With the nearest neighbours (Å) after each atom.
Element x y z (fractional)
1 Ca 0.0000 0.0000 0.0000  8 Zn 3.04, 2 Os 3.15, 4 Ca 3.34
2 Zn 0.5000 0.5000 0.3023  1 Zn 2.49, 4 Os 2.67
3 Zn 0.5000 0.5000 0.6977  1 Zn 2.49, 4 Os 2.67
4 Os 0.0000 0.0000 0.5000  8 Zn 2.67

- crystal system = tetragonal
- energy of formation (eV per formula unit) = 0.46

---

# 9
First-principles (GGA-PBE) data for a relaxed SrCd2GePt2 crystal, as listed in Alexandria via LeMat-Bulk.

abc: 6.7272 6.7272 6.7272
angles: 133.41 133.41 68.01
With the nearest neighbours (Å) after each atom.
Element x y z (fractional)
1 Sr 0.0000 0.0000 0.0000  2 Pt 3.27
2 Cd 0.2500 0.7500 0.5000  4 Pt 2.70
3 Cd 0.7500 0.2500 0.5000  4 Pt 2.70
4 Ge 0.5000 0.5000 0.0000  2 Pt 2.31
5 Pt 0.2931 0.2931 0.0000  1 Ge 2.31
6 Pt 0.7069 0.7069 0.0000  1 Ge 2.31

- crystal system = tetragonal
- energy of formation (eV per formula unit) = -1.96

---

# 10
First-principles (GGA-PBE) data for a relaxed Cs2BaSiCl6 crystal, as listed in Alexandria via LeMat-Bulk.

abc: 7.9822 7.9822 7.9822
angles: 60.00 60.00 60.00
With the nearest neighbours (Å) after each atom.
Element x y z (fractional)
1 Cs 0.2500 0.2500 0.2500  12 Cl 4.00
2 Cs 0.7500 0.7500 0.7500  12 Cl 4.00
3 Ba 0.0000 0.0000 0.0000  6 Cl 3.02
4 Si 0.5000 0.5000 0.5000  6 Cl 2.62
5 Cl 0.2675 0.2675 0.7325  1 Si 2.62
6 Cl 0.2675 0.7325 0.2675  1 Si 2.62
7 Cl 0.2675 0.7325 0.7325  1 Si 2.62
8 Cl 0.7325 0.2675 0.2675  1 Si 2.62
9 Cl 0.7325 0.2675 0.7325  1 Si 2.62
10 Cl 0.7325 0.7325 0.2675  1 Si 2.62

- crystal system = cubic

---

no.,E_tot (eV per atom)
1,-4.0820
2,-3.2102
3,-6.3949
4,-3.3324
5,-5.6335
6,-5.0673
7,-5.0107
8,-3.8308
9,-3.6955
10,-3.7054